The following is a DFT calculation (meta-GGA SCAN) of a PBEsol-optimized structure of In2GaHg. Values from VASP.

Quantum ESPRESSO input file:
```
&SYSTEM
  ibrav = 0, nat = 8, ntyp = 3
/
ATOMIC_SPECIES
In 114.82 In.upf
Ga 69.72 Ga.upf
Hg 200.59 Hg.upf
ATOMIC_POSITIONS crystal
In 0.625 0.622 0.750
In 0.378 0.875 0.250
In 0.872 0.375 0.250
In 0.125 0.128 0.750
Ga 0.500 0.500 0.000
Ga 0.750 0.250 0.500
Hg 0.250 0.750 0.500
Hg 0.000 0.000 0.000
CELL_PARAMETERS angstrom
4.234 0.000 0.000
0.000 4.234 0.000
-2.117 -2.117 10.543
```

Total magnetization ... 0.000 Bohr magnetons per cell
Energy of formation ... 0.094 eV per atom
Electronic total energy ... -301.819 eV for the cell shown